1.
A relaxed structure of Ac8Pm3Pr2, computed with PBE.

Energy of formation from the pure elements   0.204 eV/atom
DOS(E_F)   19.1 states/eV/cell
Density   7.58 Mg/m³
Total magnetic moment   0.0 μB per formula unit
Total energy   -4.156 eV per atom

Cell and atoms, written as CIF:
```
data_Ac8Pm3Pr2
_cell_length_a 6.1942
_cell_length_b 8.3861
_cell_length_c 11.4777
_cell_angle_alpha 111.42
_cell_angle_beta 90.01
_cell_angle_gamma 90.00
_symmetry_space_group_name_H-M 'P -1'
_symmetry_Int_Tables_number 2
loop_
_symmetry_equiv_pos_as_xyz
'x,y,z'
'-x,-y,-z'
loop_
_atom_site_label
_atom_site_type_symbol
_atom_site_fract_x
_atom_site_fract_y
_atom_site_fract_z
Ac1 Ac 0.9997 0.1055 0.2918
Ac2 Ac 0.0003 0.3135 0.7079
Ac3 Ac 0.5005 0.1729 0.8460
Ac4 Ac 0.4999 0.3684 0.2363
Pm1 Pm 0.0000 0.5000 0.5000
Pm2 Pm 0.5000 0.2094 0.5000
Pr1 Pr 0.0004 0.2586 0.0177
```



2.
A relaxed structure of Na2LiPuO4, computed with PBE.

DOS(E_F)   4.5 states/eV/cell
Density   5.89 Mg/m³
Formation energy from raw total energies   -52.042 kcal/mol of atoms
Total magnetic moment   3.0 μB per formula unit
Total energy   -7.096 eV per atom

Cell and atoms, written as CIF:
```
data_Na2LiPuO4
_cell_length_a 5.4051
_cell_length_b 3.4186
_cell_length_c 5.7307
_cell_angle_alpha 90.00
_cell_angle_beta 105.98
_cell_angle_gamma 90.00
_symmetry_space_group_name_H-M 'P 1 2/m 1'
_symmetry_Int_Tables_number 10
loop_
_symmetry_equiv_pos_as_xyz
'x,y,z'
'-x,-y,-z'
'-x,y,-z'
'x,-y,z'
loop_
_atom_site_label
_atom_site_type_symbol
_atom_site_fract_x
_atom_site_fract_y
_atom_site_fract_z
Na1 Na 0.0000 0.0000 0.0000
Na2 Na 0.5000 0.5000 0.0000
Li1 Li 0.0000 0.5000 0.5000
Pu1 Pu 0.5000 0.0000 0.5000
O1 O 0.2653 0.5000 0.2921
O2 O 0.2713 0.0000 0.7183
```



3.
A relaxed structure of SmHoSb, computed with PBE.

DOS(E_F)   2.9 states/eV/cell
Density   7.99 Mg/m³
Formation energy from raw total energies   -10.206 kcal/mol of atoms
Total magnetic moment   0.0 μB per formula unit
Total energy   -4.916 eV per atom

Cell and atoms, written as CIF:
```
data_SmHoSb
_cell_length_a 5.0731
_cell_length_b 5.0731
_cell_length_c 4.0764
_cell_angle_alpha 90.00
_cell_angle_beta 90.00
_cell_angle_gamma 120.00
_symmetry_space_group_name_H-M 'P 3 m 1'
_symmetry_Int_Tables_number 156
loop_
_symmetry_equiv_pos_as_xyz
'x,y,z'
'-y,x-y,z'
'-x+y,-x,z'
'-y,-x,z'
'-x+y,y,z'
'x,x-y,z'
loop_
_atom_site_label
_atom_site_type_symbol
_atom_site_fract_x
_atom_site_fract_y
_atom_site_fract_z
Sm1 Sm 0.0000 0.0000 0.0000
Ho1 Ho 0.3333 0.6667 0.5246
Sb1 Sb 0.6667 0.3333 0.3423
```